Record 1
YAgOs2 after structural relaxation. Source: Alexandria via LeMat-Bulk, functional GGA-PBE.

abc: 4.8769 3.0918 4.8594
angles: 86.47 90.00 90.00
Element x y z (fractional)
Ag  0.5000  0.7500  0.7500
Os  0.0000  0.8950  0.0035
Os  0.0000  0.6050  0.4965
Y  0.5000  0.2500  0.2500

Results
- Energy of formation: 0.47 eV per atom
- Total energy: -29.9 eV/cell
- Magnetic moment: 0.0 μB per formula unit



Record 2
YAgOs2 after structural relaxation. Source: Alexandria via LeMat-Bulk, functional GGA-PBE.

abc: 4.8912 4.8912 4.8912
angles: 127.97 127.97 76.67
Element x y z (fractional)
Ag  0.7500  0.2500  0.5000
Os  0.0000  0.0000  0.0000
Os  0.2500  0.7500  0.5000
Y  0.5000  0.5000  0.0000

Results
- Energy of formation: 0.46 eV per atom
- Total energy: -30.0 eV/cell
- Magnetic moment: 0.0 μB per formula unit



Record 3
YAgOs3 after structural relaxation. Source: Alexandria via LeMat-Bulk, functional GGA-PBE.

abc: 4.9027 4.9027 4.9027
angles: 90.00 90.00 90.00
Each line ends with the local moment (μB).
Element x y z (fractional)
Y  0.0000  0.0000  0.0000  -0.10
Os  0.0000  0.5000  0.0000  1.27
Os  0.0000  0.0000  0.5000  1.22
Os  0.5000  0.0000  0.0000  1.21
Ag  0.5000  0.5000  0.5000  0.02

Results
- Energy of formation: 2.93 eV per atom
- Total energy: -28.4 eV/cell
- Magnetic moment: 3.8 μB per formula unit



Record 4
Y4AgOs after structural relaxation. Source: Alexandria via LeMat-Bulk, functional GGA-PBE.

abc: 5.9672 5.9672 5.9672
angles: 60.00 60.00 60.00
Each line ends with the local moment (μB).
Element x y z (fractional)
Y  0.8796  0.3735  0.3735  0.03
Y  0.3735  0.3735  0.8796  0.03
Y  0.3735  0.8796  0.3735  0.03
Y  0.3735  0.3735  0.3735  0.03
Ag  0.7500  0.7500  0.7500  0.00
Os  0.0000  0.0000  0.0000  0.10

Results
- Energy of formation: 0.87 eV per atom
- Total energy: -34.7 eV/cell
- Magnetic moment: 0.3 μB per formula unit



Record 5
Y6AgOs2 after structural relaxation. Source: Alexandria via LeMat-Bulk, functional GGA-PBE.

abc: 8.4934 8.4934 8.4934
angles: 104.44 111.95 112.13
Element x y z (fractional)
Y  0.5412  0.7231  0.8181
Y  0.4588  0.2769  0.1819
Y  0.0950  0.2769  0.8181
Y  0.9050  0.7231  0.1819
Y  0.8001  0.7553  0.5554
Y  0.1999  0.2447  0.4446
Y  0.1999  0.7553  0.9553
Y  0.8001  0.2447  0.0447
Y  0.6837  0.3528  0.6691
Y  0.3163  0.6472  0.3309
Y  0.3163  0.9854  0.6691
Y  0.6837  0.0146  0.3309
Ag  0.0000  0.5000  0.5000
Ag  0.0000  0.0000  0.0000
Os  0.5000  0.3809  0.8809
Os  0.5000  0.6191  0.1191
Os  0.6769  0.0000  0.6769
Os  0.3231  0.0000  0.3231

Results
- Energy of formation: -0.23 eV per atom
- Total energy: -132.3 eV/cell
- Magnetic moment: 0.0 μB per formula unit



Record 6
ZnAgOs3 after structural relaxation. Source: Alexandria via LeMat-Bulk, functional GGA-PBE.

abc: 4.5076 4.5076 4.5076
angles: 90.00 90.00 90.00
Each line ends with the local moment (μB).
Element x y z (fractional)
Zn  0.0000  0.0000  0.0000  0.02
Os  0.0000  0.5000  0.0000  0.80
Os  0.0000  0.0000  0.5000  0.75
Os  0.5000  0.0000  0.0000  0.77
Ag  0.5000  0.5000  0.5000  0.07

Results
- Energy of formation: 2.21 eV per atom
- Total energy: -26.7 eV/cell
- Magnetic moment: 2.5 μB per formula unit



Record 7
ZnAgOs3 after structural relaxation. Source: Alexandria via LeMat-Bulk, functional GGA-PBE.

abc: 4.8100 4.8100 4.8100
angles: 90.00 90.00 90.00
Each line ends with the local moment (μB).
Element x y z (fractional)
Zn  0.5000  0.5000  0.5000  -0.03
Os  0.0000  0.5000  0.0000  1.68
Os  0.0000  0.0000  0.5000  2.38
Os  0.5000  0.0000  0.0000  1.35
Ag  0.0000  0.0000  0.0000  0.17

Results
- Energy of formation: 3.07 eV per atom
- Total energy: -22.5 eV/cell
- Magnetic moment: 5.9 μB per formula unit



Record 8
ZnAgOs after structural relaxation. Source: Alexandria via LeMat-Bulk, functional GGA-PBE.

abc: 6.4898 6.4898 6.4898
angles: 155.79 155.79 34.50
Element x y z (fractional)
Ag  0.0025  0.0025  0.0000
Os  0.3251  0.3251  0.0000
Zn  0.6724  0.6724  0.0000

Results
- Energy of formation: 0.43 eV per atom
- Total energy: -14.1 eV/cell
- Magnetic moment: 0.0 μB per formula unit



Record 9
ZnAgOs after structural relaxation. Source: Alexandria via LeMat-Bulk, functional GGA-PBE.

abc: 5.0072 5.0072 5.0072
angles: 149.55 132.62 57.37
Element x y z (fractional)
Ag  0.0020  0.0020  0.0000
Os  0.3236  0.3236  0.0000
Zn  0.6744  0.6744  0.0000

Results
- Energy of formation: 0.54 eV per atom
- Total energy: -13.7 eV/cell
- Magnetic moment: 0.0 μB per formula unit



Record 10
ZnAgOs4 after structural relaxation. Source: Alexandria via LeMat-Bulk, functional GGA-PBE.

abc: 5.1808 5.1808 5.1808
angles: 60.00 60.00 60.00
Element x y z (fractional)
Zn  0.7500  0.7500  0.7500
Ag  0.0000  0.0000  0.0000
Os  0.8748  0.3751  0.3751
Os  0.3751  0.3751  0.8748
Os  0.3751  0.8748  0.3751
Os  0.3751  0.3751  0.3751

Results
- Energy of formation: 0.84 eV per atom
- Total energy: -44.0 eV/cell
- Magnetic moment: 0.0 μB per formula unit



Record 11
ZnAg2Os2 after structural relaxation. Source: Alexandria via LeMat-Bulk, functional GGA-PBE.

abc: 3.6932 3.6932 7.0078
angles: 74.72 74.72 90.00
Element x y z (fractional)
Zn  0.0000  0.0000  0.0000
Os  0.4119  0.4119  0.1763
Os  0.5881  0.5881  0.8237
Ag  0.7500  0.2500  0.5000
Ag  0.2500  0.7500  0.5000

Results
- Energy of formation: 1.10 eV per atom
- Total energy: -24.0 eV/cell
- Magnetic moment: 0.0 μB per formula unit



Record 12
ZnAgOs after structural relaxation. Source: Alexandria via LeMat-Bulk, functional GGA-PBE.

abc: 2.7762 2.7762 6.8366
angles: 90.00 90.00 120.00
Element x y z (fractional)
Ag  0.0000  0.0000  0.9925
Os  0.6667  0.3333  0.3476
Zn  0.3333  0.6667  0.6599

Results
- Energy of formation: 0.31 eV per atom
- Total energy: -14.4 eV/cell
- Magnetic moment: 0.0 μB per formula unit